Record 1
CdCuRe2 after structural relaxation. Source: the Alexandria database, functional PBE.

Calculated values
M_tot (μB/f.u.): 0.00
DFT formation energy (meV/atom): 586
VASP energy (eV for the cell shown): -55.129

Cell lengths 5.2818, 9.3748, 2.6732 Å; angles 90.00, 109.08, 90.00 degrees
Space group C2/m (No. 12)
Inequivalent atoms, fractional coordinates:
Cd1 0.0000 0.0000 0.0000 (multiplicity 2)
Cu1 0.0000 0.5000 0.0000 (multiplicity 2)
Re1 0.2500 0.2500 0.5000 (multiplicity 4)

Record 2
TlCd2Pd2 after structural relaxation. Source: the Alexandria database, functional PBE.

Calculated values
M_tot (μB/f.u.): 0.00
Energy above the most stable polymorph in this dataset (meV/atom): 150
DFT formation energy (meV/atom): -101
VASP energy (eV for the cell shown): -30.177

Cell lengths 4.0056, 4.0056, 13.2317 Å; angles 90.00, 90.00, 90.00 degrees
Space group I4/mmm (No. 139)
Inequivalent atoms, fractional coordinates:
Tl1 0.0000 0.0000 0.0000 (multiplicity 2)
Cd1 0.0000 0.5000 0.2500 (multiplicity 4)
Pd1 0.0000 0.0000 0.3995 (multiplicity 4)

Record 3
BaCu3Se after structural relaxation. Source: the Alexandria database, functional PBE.

Calculated values
Raw formation energy (eV/atom): 0.158
M_tot (μB/f.u.): 0.00
Energy above the most stable polymorph in this dataset (meV/atom): 0
VASP energy (eV for the cell shown): -16.904

Cell lengths 4.8959, 4.8959, 4.8959 Å; angles 90.00, 90.00, 90.00 degrees
Space group Pm-3m (No. 221)
Inequivalent atoms, fractional coordinates:
Ba1 0.0000 0.0000 0.0000 (multiplicity 1)
Cu1 0.0000 0.5000 0.5000 (multiplicity 3)
Se1 0.5000 0.5000 0.5000 (multiplicity 1)

Record 4
CuIr2Se2 after structural relaxation. Source: the Alexandria database, functional PBE.

Calculated values
Raw formation energy (eV/atom): 0.411
M_tot (μB/f.u.): 0.00
VASP energy (eV for the cell shown): -53.466

Cell lengths 4.8174, 4.8174, 7.9037 Å; angles 90.00, 90.00, 90.00 degrees
Space group I4/mmm (No. 139)
Inequivalent atoms, fractional coordinates:
Cu1 0.0000 0.0000 0.0000 (multiplicity 2)
Ir1 0.0000 0.0000 0.3388 (multiplicity 4)
Se1 0.0000 0.5000 0.2500 (multiplicity 4)

Record 5
Rb2TaAs2S6 after structural relaxation. Source: the Alexandria database, functional PBE.

Calculated values
Raw formation energy (eV/atom): -0.635
M_tot (μB/f.u.): 0.37
VASP energy (eV for the cell shown): -109.664

Cell lengths 10.4077, 7.0013, 8.2550 Å; angles 90.00, 104.96, 90.00 degrees
Space group C2/m (No. 12)
Inequivalent atoms, fractional coordinates:
Rb1 0.1911 0.0000 0.0998 (multiplicity 4)
Ta1 0.0000 0.0000 0.5000 (multiplicity 2)
As1 0.1047 0.5000 0.2549 (multiplicity 4)
S1 0.0340 0.2417 0.7288 (multiplicity 8)
S2 0.2364 0.0000 0.5041 (multiplicity 4)

Record 6
ZnTeP after structural relaxation. Source: the Alexandria database, functional PBE.

Calculated values
Raw formation energy (eV/atom): -0.124
M_tot (μB/f.u.): 0.00
Energy above the most stable polymorph in this dataset (meV/atom): 0
VASP energy (eV for the cell shown): -40.786

Cell lengths 7.4967, 5.8806, 7.9748 Å; angles 90.00, 109.01, 90.00 degrees
Space group C2 (No. 5)
Inequivalent atoms, fractional coordinates:
Zn1 0.2431 0.0000 0.3338 (multiplicity 4)
Te1 0.1666 0.1461 0.8236 (multiplicity 4)
P1 0.1498 0.8671 0.5784 (multiplicity 4)

Record 7
Be2CuSe after structural relaxation. Source: the Alexandria database, functional PBE.

Calculated values
Raw formation energy (eV/atom): 0.458
M_tot (μB/f.u.): 0.00
VASP energy (eV for the cell shown): -39.599

Cell lengths 2.8675, 2.8675, 21.8871 Å; angles 90.00, 90.00, 120.00 degrees
Space group R3m (No. 160, hexagonal axes)
Inequivalent atoms, fractional coordinates:
Be1 0.0000 0.0000 0.0000 (multiplicity 3)
Be2 0.0000 0.0000 0.2596 (multiplicity 3)
Cu1 0.0000 0.0000 0.7436 (multiplicity 3)
Se1 0.0000 0.0000 0.5105 (multiplicity 3)

Record 8
Ce2Cu4SiGe3 after structural relaxation. Source: the Alexandria database, functional PBE.

Calculated values
Raw formation energy (eV/atom): -0.489
M_tot (μB/f.u.): 0.73
VASP energy (eV for the cell shown): -52.418

Cell lengths 4.1962, 4.1962, 9.8374 Å; angles 90.00, 90.00, 90.00 degrees
Space group P-4m2 (No. 115)
Inequivalent atoms, fractional coordinates:
Ce1 0.0000 0.5000 0.2496 (multiplicity 2)
Cu1 0.0000 0.0000 0.0000 (multiplicity 1)
Cu2 0.0000 0.5000 0.6236 (multiplicity 2)
Cu3 0.5000 0.5000 0.0000 (multiplicity 1)
Si1 0.0000 0.0000 0.5000 (multiplicity 1)
Ge1 0.0000 0.5000 0.8666 (multiplicity 2)
Ge2 0.5000 0.5000 0.5000 (multiplicity 1)